one | The following is a GGA-PBE calculation of an optimized crystal structure of La2PmSm, from the Alexandria database.

a b c (Å): 3.7058 3.7058 35.9668
angles (deg): 90.00 90.00 120.00
Last column: nearest neighbours and their distance in Å.
Space group R3m (No. 160, hexagonal axes)
Inequivalent atoms, fractional coordinates:
1 La 0.0000 0.0000 0.0000  3 Pm 3.66, 3 Sm 3.66, 6 La 3.71
2 La 0.0000 0.0000 0.1656  3 Sm 3.68, 6 La 3.71, 3 Pm 3.74
3 Pm 0.0000 0.0000 0.5842  6 La 3.66-3.74, 6 Pm 3.71
4 Sm 0.0000 0.0000 0.4159  6 La 3.66-3.68, 6 Sm 3.71



two | The following is a GGA-PBE calculation of an optimized crystal structure of La2PmSm, from the Alexandria database.

a b c (Å): 8.3180 8.3180 8.3180
angles (deg): 90.00 90.00 90.00
Last column: nearest neighbours and their distance in Å.
Space group Fm-3m (No. 225)
Inequivalent atoms, fractional coordinates:
1 La 0.2500 0.2500 0.2500  4 Pm 3.60, 4 Sm 3.60
2 Pm 0.0000 0.0000 0.0000  8 La 3.60
3 Sm 0.0000 0.0000 0.5000  8 La 3.60



Relative energies, unit kJ/mol of atoms: one 0.0; two 9.3



one | The following is a GGA-PBE calculation of an optimized crystal structure of La2PmSm, from the Alexandria database.

a b c (Å): 5.2361 5.2361 5.1599
angles (deg): 90.00 90.00 90.00
Last column: nearest neighbours and their distance in Å.
Space group P4/mmm (No. 123)
Inequivalent atoms, fractional coordinates:
1 La 0.0000 0.5000 0.0000  4 Pm 3.68, 4 Sm 3.68, 4 La 3.70
2 Pm 0.0000 0.0000 0.5000  8 La 3.68, 4 Sm 3.70
3 Sm 0.5000 0.5000 0.5000  8 La 3.68, 4 Pm 3.70



two | The following is a GGA-PBE calculation of an optimized crystal structure of La2PmSm, from the Alexandria database.

a b c (Å): 7.0572 7.1165 11.5751
angles (deg): 90.00 90.13 90.00
Last column: nearest neighbours and their distance in Å.
Space group P2/c (No. 13)
Inequivalent atoms, fractional coordinates:
1 La 0.1229 0.1255 0.1163  4 Pm 3.51-3.67, 3 La 3.55-3.69, 3 Sm 3.55-3.64
2 La 0.3765 0.3760 0.8841  4 Sm 3.52-3.67, 3 Pm 3.55-3.66, 3 La 3.56-3.69
3 Pm 0.3746 0.1247 0.3856  7 La 3.51-3.67, 2 Pm 3.61-3.64, 1 Sm 3.64
4 Sm 0.1249 0.3740 0.6142  7 La 3.52-3.67, 2 Sm 3.61-3.65, 1 Pm 3.64



Relative energies, unit kJ/mol of atoms: one 0.0; two 16.7



one | The following is a GGA-PBE calculation of an optimized crystal structure of La2PmSm3, from the Alexandria database.

a b c (Å): 9.9059 3.6199 11.8428
angles (deg): 90.00 93.04 90.00
Last column: nearest neighbours and their distance in Å.
Space group P2_1/m (No. 11)
Inequivalent atoms, fractional coordinates:
1 La 0.0582 0.2500 0.3606  4 La 3.62-3.99, 6 Sm 3.62-3.81, 2 Pm 3.78
2 La 0.4133 0.7500 0.8782  5 Sm 3.54-3.64, 3 Pm 3.57-3.75, 4 La 3.62-3.75
3 Pm 0.2572 0.7500 0.1433  5 Sm 3.52-3.71, 5 La 3.57-3.78, 2 Pm 3.62
4 Sm 0.0970 0.2500 0.8976  3 Pm 3.52-3.71, 5 Sm 3.57-3.65, 4 La 3.64-3.81
5 Sm 0.2675 0.2500 0.6395  6 Sm 3.50-3.62, 5 La 3.59-3.81
6 Sm 0.4241 0.2500 0.3810  7 Sm 3.50-3.62, 2 La 3.54-3.62, 2 Pm 3.67



two | The following is a GGA-PBE calculation of an optimized crystal structure of La2PmSm3, from the Alexandria database.

a b c (Å): 17.4387 7.0077 7.0966
angles (deg): 90.00 101.70 90.00
Last column: nearest neighbours and their distance in Å.
Space group C2/c (No. 15)
Inequivalent atoms, fractional coordinates:
1 La 0.1748 0.0011 0.0879  2 La 3.55, 6 Sm 3.55-3.85, 2 Pm 3.84-3.85
2 Pm 0.0000 0.2357 0.7500  8 Sm 3.31-3.70
3 Sm 0.0000 0.2364 0.2500  4 Pm 3.31-3.70, 4 Sm 3.50-3.51
4 Sm 0.1400 0.4992 0.5696  4 Sm 3.50-3.55, 2 Pm 3.50-3.51, 4 La 3.55-3.63



Relative energies, unit kJ/mol of atoms: one 0.0; two 6.3



one | The following is a GGA-PBE calculation of an optimized crystal structure of La8Pm2Sm, from the Alexandria database.

a b c (Å): 10.5146 13.9043 5.6017
angles (deg): 90.00 90.15 90.00
Last column: nearest neighbours and their distance in Å.
Space group C2/m (No. 12)
Inequivalent atoms, fractional coordinates:
1 La 0.0000 0.2446 0.0000  2 Pm 3.31, 1 Sm 3.55, 4 La 3.70-3.71
2 La 0.1643 0.3669 0.5012  7 La 3.46-3.80, 1 Pm 3.54, 2 Sm 3.77-3.78
3 La 0.1676 0.0000 0.9996  1 Sm 3.50, 7 La 3.52-3.83, 4 Pm 3.69-3.70
4 Pm 0.0000 0.1178 0.5000  1 Pm 3.28, 4 La 3.31-3.54
5 Sm 0.0000 0.5000 0.0000  12 La 3.50-3.78



two | The following is a GGA-PBE calculation of an optimized crystal structure of La8Pm2Sm, from the Alexandria database.

a b c (Å): 9.3260 16.9643 6.1387
angles (deg): 90.00 124.43 90.00
Last column: nearest neighbours and their distance in Å.
Space group C2/m (No. 12)
Inequivalent atoms, fractional coordinates:
1 La 0.0000 0.2048 0.0000  1 Sm 3.47, 4 Pm 3.55-3.88, 6 La 3.74-3.78
2 La 0.0787 0.5000 0.7987  3 La 3.08-3.30, 1 Sm 3.39
3 La 0.2151 0.1186 0.6843  3 La 3.30-3.65, 2 Pm 3.64
4 Pm 0.0000 0.3098 0.5000  10 La 3.55-3.88
5 Sm 0.0000 0.0000 0.0000  4 La 3.39-3.47



Relative energies, unit kJ/mol of atoms: one 1.4; two 0.0



one | The following is a GGA-PBE calculation of an optimized crystal structure of La3Pm2Sm8, from the Alexandria database.

a b c (Å): 6.3398 6.3485 11.5851
angles (deg): 89.93 79.47 80.32
Last column: nearest neighbours and their distance in Å.
Space group P-1 (No. 2)
Inequivalent atoms, fractional coordinates:
1 La 0.0000 0.0000 0.0000  4 La 3.66-3.67, 8 Sm 3.67-3.70
2 La 0.2294 0.4617 0.0778  4 La 3.66-3.68, 8 Sm 3.66-3.70
3 Pm 0.3849 0.7687 0.4622  10 Sm 3.62-3.66, 2 Pm 3.65-3.67
4 Sm 0.0771 0.1519 0.6897  7 Sm 3.62-3.67, 3 Pm 3.63-3.66, 2 La 3.68-3.69
5 Sm 0.1537 0.3073 0.3861  7 Sm 3.62-3.67, 4 Pm 3.64-3.66, 1 La 3.67
6 Sm 0.3083 0.6131 0.7660  2 Pm 3.62-3.63, 6 Sm 3.65-3.67, 4 La 3.66-3.70
7 Sm 0.4621 0.9242 0.1569  1 Pm 3.64, 6 Sm 3.65-3.73, 5 La 3.67-3.70



two | The following is a GGA-PBE calculation of an optimized crystal structure of La3Pm2Sm8, from the Alexandria database.

a b c (Å): 20.7393 7.7786 5.7660
angles (deg): 90.00 90.15 90.00
Last column: nearest neighbours and their distance in Å.
Space group C2/m (No. 12)
Inequivalent atoms, fractional coordinates:
1 La 0.0000 0.0000 0.0000  4 Sm 3.18
2 La 0.0000 0.2960 0.5000  1 La 3.17
3 Pm 0.2419 0.0000 0.9955  8 Sm 3.38-3.65
4 Sm 0.1077 0.2915 0.0006  1 La 3.18, 2 Sm 3.24-3.56, 1 Pm 3.52
5 Sm 0.1354 0.0000 0.4979  2 Pm 3.62-3.65, 4 La 3.63-4.04, 7 Sm 3.70-3.98
6 Sm 0.1725 0.5000 0.5032  2 Pm 3.38-3.39, 4 Sm 3.56-3.58



Relative energies, unit kJ/mol of atoms: one 0.0; two 19.8



one | The following is a GGA-PBE calculation of an optimized crystal structure of LaPm2Sm2, from the Alexandria database.

a b c (Å): 9.9100 8.0605 9.4594
angles (deg): 90.00 112.35 90.00
Last column: nearest neighbours and their distance in Å.
Space group C2/c (No. 15)
Inequivalent atoms, fractional coordinates:
1 La 0.0000 0.2202 0.2500  2 Sm 3.50, 6 Pm 3.52-3.67
2 Pm 0.1159 0.1685 0.6481  5 Sm 3.36-3.68, 1 Pm 3.52, 3 La 3.52-3.67
3 Sm 0.1644 0.4371 0.9777  5 Pm 3.36-3.68, 2 Sm 3.41-3.59, 1 La 3.50



two | The following is a GGA-PBE calculation of an optimized crystal structure of LaPm2Sm2, from the Alexandria database.

a b c (Å): 9.6981 9.6981 3.7944
angles (deg): 90.00 90.00 90.00
Last column: nearest neighbours and their distance in Å.
Space group P4/mbm (No. 127)
Inequivalent atoms, fractional coordinates:
1 La 0.0000 0.0000 0.0000  2 La 3.79, 4 Sm 3.83, 8 Pm 4.06
2 Pm 0.1719 0.3281 0.5000  6 Sm 3.36-3.48
3 Sm 0.1255 0.6255 0.0000  6 Pm 3.36-3.48, 1 Sm 3.44



Relative energies, unit kJ/mol of atoms: one 3.1; two 0.0



one | The following is a GGA-PBE calculation of an optimized crystal structure of LaPmSm4, from the Alexandria database.

a b c (Å): 6.3400 10.9575 6.3298
angles (deg): 90.00 109.58 90.00
Last column: nearest neighbours and their distance in Å.
Space group C2/m (No. 12)
Inequivalent atoms, fractional coordinates:
1 La 0.0000 0.0000 0.0000  10 Sm 3.65-3.66, 2 Pm 3.65
2 Pm 0.0000 0.5000 0.5000  10 Sm 3.64-3.66, 2 La 3.65
3 Sm 0.0000 0.1675 0.5000  3 Pm 3.64-3.66, 7 Sm 3.65-3.67, 2 La 3.66
4 Sm 0.0000 0.3329 0.0000  7 Sm 3.65-3.66, 3 La 3.65-3.66, 2 Pm 3.66



two | The following is a GGA-PBE calculation of an optimized crystal structure of LaPmSm4, from the Alexandria database.

a b c (Å): 6.9358 12.3811 9.7661
angles (deg): 90.00 90.00 90.00
Last column: nearest neighbours and their distance in Å.
Space group Cmcm (No. 63)
Inequivalent atoms, fractional coordinates:
1 La 0.0000 0.1811 0.2500  2 Sm 3.14, 2 Pm 3.31
2 Pm 0.0000 0.0000 0.0000  4 Sm 3.30, 2 La 3.31
3 Sm 0.0000 0.3456 0.5735  3 Sm 3.45-3.62, 1 La 3.76
4 Sm 0.2367 0.3973 0.2500  1 La 3.14, 1 Sm 3.28, 2 Pm 3.30



Relative energies, unit kJ/mol of atoms: one 0.0; two 19.2



one | The following is a GGA-PBE calculation of an optimized crystal structure of LaPm3Sm7, from the Alexandria database.

a b c (Å): 7.0885 5.6855 10.1544
angles (deg): 90.00 109.67 90.00
Last column: nearest neighbours and their distance in Å.
Space group P2/m (No. 10)
Inequivalent atoms, fractional coordinates:
1 La 0.0000 0.0000 0.0000  2 Pm 3.54, 10 Sm 3.63-3.90
2 Pm 0.2793 0.5000 0.4983  1 Pm 3.12, 4 Sm 3.39-3.47
3 Pm 0.5000 0.0000 0.0000  2 La 3.54, 10 Sm 3.58-3.92
4 Sm 0.0000 0.0000 0.5000  4 Pm 3.47, 2 Sm 3.88
5 Sm 0.1442 0.5000 0.7889  3 Sm 3.35-3.63, 2 Pm 3.39-3.41
6 Sm 0.3246 0.5000 0.1393  5 Sm 3.35-3.63, 2 Pm 3.58, 2 La 3.63
7 Sm 0.4206 0.0000 0.3304  3 Sm 3.24-3.38, 5 Pm 3.58-3.63



two | The following is a GGA-PBE calculation of an optimized crystal structure of LaPm3Sm7, from the Alexandria database.

a b c (Å): 5.9725 11.3504 11.4252
angles (deg): 90.00 90.00 90.00
Last column: nearest neighbours and their distance in Å.
Space group Immm (No. 71)
Inequivalent atoms, fractional coordinates:
1 La 0.0000 0.0000 0.0000  4 Sm 2.99-3.34
2 Pm 0.0000 0.0000 0.5000  4 Sm 3.25
3 Pm 0.0000 0.5000 0.2082  5 Sm 3.33-3.50
4 Sm 0.0000 0.2064 0.3032  2 Pm 3.25-3.50, 3 Sm 3.37-3.60
5 Sm 0.0000 0.2941 0.0000  2 Pm 3.33, 1 La 3.34, 2 Sm 3.60
6 Sm 0.0000 0.5000 0.5000  2 La 2.99, 2 Pm 3.33



Relative energies, unit kJ/mol of atoms: one 0.0; two 9.6



one | The following is a GGA-PBE calculation of an optimized crystal structure of La8Pm3Sm2, from the Alexandria database.

a b c (Å): 13.7188 11.8550 6.2964
angles (deg): 90.00 113.96 90.00
Last column: nearest neighbours and their distance in Å.
Space group C2/m (No. 12)
Inequivalent atoms, fractional coordinates:
1 La 0.0437 0.0000 0.2842  2 Sm 3.14-3.37, 4 La 3.28-3.51, 2 Pm 3.44
2 La 0.1378 0.5000 0.5781  3 Pm 3.35-3.42, 3 La 3.50-3.72, 2 Sm 3.61-3.68
3 La 0.1692 0.2336 0.1615  2 Sm 3.50-3.80, 3 La 3.51-3.72, 3 Pm 3.74-3.86
4 Pm 0.0000 0.2522 0.5000  6 La 3.42-3.74
5 Pm 0.0000 0.5000 0.0000  2 La 3.35, 2 Sm 3.58
6 Sm 0.2152 0.0000 0.7984  4 La 3.14-3.50



two | The following is a GGA-PBE calculation of an optimized crystal structure of La8Pm3Sm2, from the Alexandria database.

a b c (Å): 20.8332 7.7425 5.9236
angles (deg): 90.00 90.06 90.00
Last column: nearest neighbours and their distance in Å.
Space group C2/m (No. 12)
Inequivalent atoms, fractional coordinates:
1 La 0.1047 0.2034 0.0004  1 La 3.15, 1 Pm 3.17
2 La 0.1348 0.5000 0.4988  2 Pm 3.55, 2 Sm 3.70-3.72, 7 La 3.79-3.98
3 La 0.1743 0.0000 0.5022  2 Sm 3.43-3.44, 4 La 3.65-3.66
4 Pm 0.0000 0.2188 0.5000  3 Pm 3.39-3.68, 6 La 3.55-3.68
5 Pm 0.0000 0.5000 0.0000  4 La 3.17
6 Sm 0.2421 0.5000 0.9972  8 La 3.43-3.72



Relative energies, unit kJ/mol of atoms: one 0.0; two 3.6



one | The following is a GGA-PBE calculation of an optimized crystal structure of La8PmSm6, from the Alexandria database.

a b c (Å): 6.3987 6.3987 45.2678
angles (deg): 90.00 90.00 120.00
Last column: nearest neighbours and their distance in Å.
Space group R-3 (No. 148, hexagonal axes)
Inequivalent atoms, fractional coordinates:
1 La 0.0000 0.0000 0.1667  6 Sm 3.67, 3 Pm 3.69, 3 La 3.69
2 La 0.9999 0.3332 0.2988  3 Sm 3.68, 9 La 3.69-3.79
3 Pm 0.0000 0.0000 0.5000  6 Sm 3.66, 6 La 3.69
4 Sm 0.0000 0.3326 0.4341  1 Pm 3.66, 5 La 3.67-3.68, 6 Sm 3.69-3.70



two | The following is a GGA-PBE calculation of an optimized crystal structure of La8PmSm6, from the Alexandria database.

a b c (Å): 10.0160 10.0160 18.4476
angles (deg): 90.00 90.00 120.00
Last column: nearest neighbours and their distance in Å.
Space group R-3 (No. 148, hexagonal axes)
Inequivalent atoms, fractional coordinates:
1 La 0.0000 0.0000 0.0851  3 Sm 3.12, 1 La 3.14
2 La 0.0547 0.8159 0.6699  4 Sm 3.47-3.85, 4 La 3.76-3.77, 1 Pm 3.81
3 Pm 0.0000 0.0000 0.5000  6 Sm 3.50, 6 La 3.81
4 Sm 0.0410 0.7600 0.1762  2 La 3.12-3.47, 1 Pm 3.50



Relative energies, unit kJ/mol of atoms: one 0.0; two 10.6